Crystalline LiAc2Er at its relaxed geometry. Source: Alexandria via LeMat-Bulk, functional PBE-GGA.

a = 13.0119 Å, b = 13.0119 Å, c = 13.0119 Å
α = 16.63°, β = 16.63°, γ = 16.63°
Sites, in units of the cell vectors:
Li: 0.0000 0.0000 0.0000
Ac: 0.0898 0.0898 0.0898
Ac: 0.9102 0.9102 0.9102
Er: 0.5000 0.5000 0.5000

Values from the calculation:
The space group is R-3m. The value obtained for the density of states at the Fermi level is 4.9 states/eV/f.u. The value obtained for the volume is 39.340 Å³/atom. The formation energy comes out at 211 meV per atom.

Crystalline PmGdAlIr at its relaxed geometry. Source: Alexandria via LeMat-Bulk, functional PBE-GGA.

a = 5.0633 Å, b = 5.0633 Å, c = 5.0633 Å
α = 60.00°, β = 60.00°, γ = 60.00°
Sites, in units of the cell vectors:
Pm: 0.0000 0.0000 0.0000
Gd: 0.5000 0.5000 0.5000
Al: 0.7500 0.7500 0.7500
Ir: 0.2500 0.2500 0.2500

Values from the calculation:
The space group is F-43m. The value obtained for the density of states at the Fermi level is 3.7 states/eV/f.u. The value obtained for the volume is 22.947 Å³/atom. The formation energy comes out at -463 meV per atom.

Crystalline Ce2Ni4Ge3Ru at its relaxed geometry. Source: Alexandria via LeMat-Bulk, functional PBE-GGA.

a = 3.9293 Å, b = 3.9293 Å, c = 10.5665 Å
α = 90.00°, β = 90.00°, γ = 90.00°
Sites, in units of the cell vectors:
Ce: 0.0000 0.5000 0.2410
Ce: 0.5000 0.0000 0.7590
Ni: 0.0000 0.0000 0.5000
Ni: 0.0000 0.5000 0.8497
Ni: 0.5000 0.0000 0.1503
Ni: 0.5000 0.5000 0.5000
Ge: 0.0000 0.0000 0.0000
Ge: 0.0000 0.5000 0.6255
Ge: 0.5000 0.0000 0.3745
Ru: 0.5000 0.5000 0.0000

Values from the calculation:
The space group is P-4m2. The value obtained for the density of states at the Fermi level is 12.7 states/eV/f.u. The value obtained for the volume is 16.314 Å³/atom. The formation energy comes out at -534 meV per atom.

Crystalline CeIn6Au12 at its relaxed geometry. Source: Alexandria via LeMat-Bulk, functional PBE-GGA.

a = 7.8382 Å, b = 7.8382 Å, c = 7.8382 Å
α = 105.20°, β = 105.20°, γ = 105.20°
Sites, in units of the cell vectors:
Ce: 0.0000 0.0000 0.0000
In: 0.2929 0.2929 0.6964
In: 0.2929 0.6964 0.2929
In: 0.3036 0.7071 0.7071
In: 0.6964 0.2929 0.2929
In: 0.7071 0.3036 0.7071
In: 0.7071 0.7071 0.3036
Au: 0.1085 0.3511 0.3511
Au: 0.1129 0.5000 0.8871
Au: 0.1129 0.8871 0.5000
Au: 0.3511 0.1085 0.3511
Au: 0.3511 0.3511 0.1085
Au: 0.5000 0.1129 0.8871
Au: 0.5000 0.8871 0.1129
Au: 0.6489 0.6489 0.8915
Au: 0.6489 0.8915 0.6489
Au: 0.8871 0.1129 0.5000
Au: 0.8871 0.5000 0.1129
Au: 0.8915 0.6489 0.6489

Values from the calculation:
The space group is R-3m. The value obtained for the density of states at the Fermi level is 13.1 states/eV/f.u. The value obtained for the volume is 22.064 Å³/atom. The formation energy comes out at -182 meV per atom.

Crystalline Ac6AgOs2Br3 at its relaxed geometry. Source: Alexandria via LeMat-Bulk, functional PBE-GGA.

a = 7.6606 Å, b = 7.6606 Å, c = 8.6760 Å
α = 98.40°, β = 98.40°, γ = 120.04°
Sites, in units of the cell vectors:
Ac: 0.0742 0.4344 0.8022
Ac: 0.2049 0.2049 0.1980
Ac: 0.4344 0.0742 0.8022
Ac: 0.5656 0.9258 0.1978
Ac: 0.7951 0.7951 0.8020
Ac: 0.9258 0.5656 0.1978
Ag: 0.5000 0.5000 0.0000
Os: 0.1664 0.8336 0.0000
Os: 0.8336 0.1664 0.0000
Br: 0.0000 0.0000 0.5000
Br: 0.3300 0.6700 0.5000
Br: 0.6700 0.3300 0.5000

Values from the calculation:
The space group is C2/m. Its formation energy (no corrections) is -805 meV per atom. The value obtained for the density of states at the Fermi level is 2.8 states/eV/f.u. The value obtained for the volume is 35.127 Å³/atom.

Crystalline Nd3GaGe4 at its relaxed geometry. Source: Alexandria via LeMat-Bulk, functional PBE-GGA.

a = 8.4556 Å, b = 8.4556 Å, c = 8.4556 Å
α = 149.29°, β = 138.14°, γ = 52.80°
Sites, in units of the cell vectors:
Nd: 0.0000 0.0000 0.0000
Nd: 0.3140 0.8140 0.5000
Nd: 0.6860 0.1860 0.5000
Ga: 0.5000 0.5000 0.0000
Ge: 0.0782 0.3740 0.7042
Ge: 0.3302 0.6260 0.7042
Ge: 0.6698 0.3740 0.2958
Ge: 0.9218 0.6260 0.2958

Values from the calculation:
The space group is Immm. The value obtained for the density of states at the Fermi level is 3.1 states/eV/f.u. The value obtained for the volume is 25.607 Å³/atom. The formation energy comes out at -582 meV per atom.